## one
NdDyTe: relaxed, PBE.

## Properties
**Space group**: C2/m (12)
**D(E_F)**: 3.3 states/eV/f.u.
**M_tot**: 0.00 μB/f.u.

a = 8.6580 Å, b = 8.6580 Å, c = 11.2448 Å
α = 93.10°, β = 93.10°, γ = 27.07°
With the nearest neighbours (Å) after each atom.
Element x y z (fractional)
Nd: 0.0249 0.0249 0.3523  6 Te 3.13-3.43, 1 Nd 3.47
Nd: 0.3856 0.3856 0.1594  2 Te 3.19-3.35, 3 Dy 3.33-3.56
Nd: 0.6144 0.6144 0.8406  2 Te 3.19-3.35, 3 Dy 3.33-3.56
Nd: 0.9751 0.9751 0.6477  6 Te 3.13-3.43, 1 Nd 3.47
Dy: 0.1919 0.1919 0.0804  2 Te 2.99, 1 Nd 3.33
Dy: 0.2508 0.2508 0.6629  4 Te 3.23-3.47, 2 Dy 3.61
Dy: 0.7492 0.7492 0.3371  4 Te 3.23-3.47, 2 Dy 3.61
Dy: 0.8081 0.8081 0.9196  2 Te 2.99, 1 Nd 3.33
Te: 0.3802 0.3802 0.4572  3 Dy 3.23-3.27, 5 Nd 3.30-3.43
Te: 0.4252 0.4252 0.8421  2 Dy 2.99, 3 Nd 3.13-3.19
Te: 0.5748 0.5748 0.1579  2 Dy 2.99, 3 Nd 3.13-3.19
Te: 0.6198 0.6198 0.5428  3 Dy 3.23-3.27, 5 Nd 3.30-3.43

## two
NdDyTe: relaxed, PBE.

## Properties
**Space group**: I4mm (107)
**D(E_F)**: 2.7 states/eV/f.u.
**M_tot**: 0.00 μB/f.u.

a = 6.5150 Å, b = 6.5150 Å, c = 6.5150 Å
α = 144.85°, β = 144.85°, γ = 50.56°
With the nearest neighbours (Å) after each atom.
Element x y z (fractional)
Nd: 0.0000 0.0000 0.0000  4 Te 3.41, 5 Dy 3.58-3.63
Dy: 0.3083 0.3083 0.0000  4 Te 3.24, 4 Nd 3.58
Te: 0.6673 0.6673 0.0000  4 Dy 3.24, 4 Nd 3.41

Relative to the most stable structure, the computed energies are one 12; two 0, all in meV/atom.

## one
NdDy6Th2: relaxed, PBE.

## Properties
**Space group**: P6/mmm (191)
**D(E_F)**: 11.9 states/eV/f.u.
**M_tot**: 0.00 μB/f.u.

a = 9.7437 Å, b = 9.7437 Å, c = 3.4973 Å
α = 90.00°, β = 90.00°, γ = 120.00°
With the nearest neighbours (Å) after each atom.
Element x y z (fractional)
Nd: 0.0000 0.0000 0.0000  2 Nd 3.50, 12 Dy 3.71
Dy: 0.0000 0.3354 0.5000  5 Dy 3.21-3.50
Dy: 0.0000 0.6646 0.5000  5 Dy 3.21-3.50
Dy: 0.3354 0.0000 0.5000  5 Dy 3.21-3.50
Dy: 0.3354 0.3354 0.5000  5 Dy 3.21-3.50
Dy: 0.6646 0.0000 0.5000  5 Dy 3.21-3.50
Dy: 0.6646 0.6646 0.5000  5 Dy 3.21-3.50
Th: 0.3333 0.6667 0.0000  2 Th 3.50, 12 Dy 3.68
Th: 0.6667 0.3333 0.0000  2 Th 3.50, 12 Dy 3.68

## two
NdDy6Th2: relaxed, PBE.

## Properties
**Space group**: P-6m2 (187)
**D(E_F)**: 18.4 states/eV/f.u.
**M_tot**: 0.00 μB/f.u.

a = 3.5735 Å, b = 3.5735 Å, c = 26.4533 Å
α = 90.00°, β = 90.00°, γ = 120.00°
With the nearest neighbours (Å) after each atom.
Element x y z (fractional)
Nd: 0.0000 0.0000 0.0000  6 Nd 3.57, 6 Dy 3.61
Dy: 0.0000 0.0000 0.2191  9 Dy 3.50-3.57, 3 Th 3.60
Dy: 0.0000 0.0000 0.4371  7 Dy 3.33-3.57, 3 Th 3.49
Dy: 0.0000 0.0000 0.5629  7 Dy 3.33-3.57, 3 Th 3.49
Dy: 0.0000 0.0000 0.7809  9 Dy 3.50-3.57, 3 Th 3.60
Dy: 0.3333 0.6667 0.1122  9 Dy 3.50-3.57, 3 Nd 3.61
Dy: 0.3333 0.6667 0.8878  9 Dy 3.50-3.57, 3 Nd 3.61
Th: 0.3333 0.6667 0.3305  6 Dy 3.49-3.60, 6 Th 3.57
Th: 0.3333 0.6667 0.6695  6 Dy 3.49-3.60, 6 Th 3.57

Relative to the most stable structure, the computed energies are one 0; two 18, all in meV/atom.

## one
Nd4Dy2Th3: relaxed, PBE.

## Properties
**Space group**: P3m1 (156)
**D(E_F)**: 18.0 states/eV/f.u.
**M_tot**: 0.00 μB/f.u.

a = 3.5891 Å, b = 3.5891 Å, c = 27.1275 Å
α = 90.00°, β = 90.00°, γ = 120.00°
With the nearest neighbours (Å) after each atom.
Element x y z (fractional)
Nd: 0.0000 0.0000 0.0000  1 Dy 3.40, 3 Th 3.59, 6 Nd 3.59
Nd: 0.0000 0.0000 0.2175  9 Nd 3.59-3.77, 3 Th 3.62
Nd: 0.3333 0.6667 0.3334  9 Nd 3.59-3.77, 3 Th 3.62
Nd: 0.3333 0.6667 0.5532  6 Nd 3.59, 3 Dy 3.62, 3 Th 3.65
Dy: 0.0000 0.0000 0.6626  6 Dy 3.59, 3 Th 3.60, 3 Nd 3.62
Dy: 0.0000 0.0000 0.8748  1 Nd 3.40, 3 Th 3.50, 6 Dy 3.59
Th: 0.0000 0.0000 0.4426  6 Th 3.59, 6 Nd 3.62-3.65
Th: 0.3333 0.6667 0.1080  6 Nd 3.59-3.62, 6 Th 3.59
Th: 0.3333 0.6667 0.7709  6 Dy 3.50-3.60, 6 Th 3.59

## two
Nd4Dy2Th3: relaxed, PBE.

## Properties
**Space group**: C2/m (12)
**D(E_F)**: 14.2 states/eV/f.u.
**M_tot**: 0.00 μB/f.u.

a = 8.0743 Å, b = 8.0743 Å, c = 10.8428 Å
α = 103.49°, β = 103.49°, γ = 25.96°
With the nearest neighbours (Å) after each atom.
Element x y z (fractional)
Nd: 0.0039 0.0039 0.3380  5 Nd 3.54-3.63, 2 Dy 3.58, 5 Th 3.61-3.72
Nd: 0.3379 0.3379 0.1144  3 Th 3.58-3.60, 6 Nd 3.60-3.72, 3 Dy 3.63-3.69
Nd: 0.6621 0.6621 0.8856  3 Th 3.58-3.60, 6 Nd 3.60-3.72, 3 Dy 3.63-3.69
Nd: 0.9961 0.9961 0.6620  5 Nd 3.54-3.63, 2 Dy 3.58, 5 Th 3.61-3.72
Dy: 0.3358 0.3358 0.7787  5 Th 3.55-3.62, 5 Nd 3.58-3.69, 2 Dy 3.63
Dy: 0.6642 0.6642 0.2213  5 Th 3.55-3.62, 5 Nd 3.58-3.69, 2 Dy 3.63
Th: 0.0000 0.0000 0.0000  4 Dy 3.57, 6 Nd 3.58-3.65, 2 Th 3.63
Th: 0.3269 0.3269 0.4420  4 Th 3.49-3.63, 3 Dy 3.55-3.62, 5 Nd 3.60-3.72
Th: 0.6731 0.6731 0.5580  4 Th 3.49-3.63, 3 Dy 3.55-3.62, 5 Nd 3.60-3.72

Relative to the most stable structure, the computed energies are one 36; two 0, all in meV/atom.

## one
Nd2DyTh: relaxed, PBE.

## Properties
**Space group**: Fm-3m (225)
**D(E_F)**: 11.3 states/eV/f.u.
**M_tot**: 0.01 μB/f.u.

a = 5.7517 Å, b = 5.7517 Å, c = 5.7517 Å
α = 60.00°, β = 60.00°, γ = 60.00°
With the nearest neighbours (Å) after each atom.
Element x y z (fractional)
Nd: 0.2500 0.2500 0.2500  4 Dy 3.52, 4 Th 3.52
Nd: 0.7500 0.7500 0.7500  4 Dy 3.52, 4 Th 3.52
Dy: 0.0000 0.0000 0.0000  8 Nd 3.52
Th: 0.5000 0.5000 0.5000  8 Nd 3.52

## two
Nd2DyTh: relaxed, PBE.

## Properties
**Space group**: R3m (160)
**D(E_F)**: 6.3 states/eV/f.u.
**M_tot**: 0.00 μB/f.u.

a = 11.9139 Å, b = 11.9139 Å, c = 11.9139 Å
α = 17.56°, β = 17.56°, γ = 17.56°
With the nearest neighbours (Å) after each atom.
Element x y z (fractional)
Nd: 0.0000 0.0000 0.0000  3 Th 3.58, 3 Dy 3.63, 6 Nd 3.64
Nd: 0.1687 0.1687 0.1687  3 Th 3.57, 6 Nd 3.64, 3 Dy 3.64
Dy: 0.7507 0.7507 0.7507  6 Nd 3.63-3.64, 6 Dy 3.64
Th: 0.5843 0.5843 0.5843  6 Nd 3.57-3.58, 6 Th 3.64

## three
Nd2DyTh: relaxed, PBE.

## Properties
**Space group**: C2/c (15)
**D(E_F)**: 5.7 states/eV/f.u.
**M_tot**: 0.00 μB/f.u.

a = 7.2284 Å, b = 7.2284 Å, c = 6.2879 Å
α = 106.56°, β = 106.56°, γ = 59.84°
With the nearest neighbours (Å) after each atom.
Element x y z (fractional)
Nd: 0.1209 0.3752 0.2484  3 Th 3.57-3.66, 3 Dy 3.58-3.66, 6 Nd 3.61-3.64
Nd: 0.3752 0.1209 0.7484  3 Th 3.57-3.66, 3 Dy 3.58-3.66, 6 Nd 3.61-3.64
Nd: 0.6248 0.8791 0.2516  3 Th 3.57-3.66, 3 Dy 3.58-3.66, 6 Nd 3.61-3.64
Nd: 0.8791 0.6248 0.7516  3 Th 3.57-3.66, 3 Dy 3.58-3.66, 6 Nd 3.61-3.64
Dy: 0.3721 0.6279 0.7500  4 Th 3.52-3.69, 6 Nd 3.58-3.66, 2 Dy 3.65
Dy: 0.6279 0.3721 0.2500  4 Th 3.52-3.69, 6 Nd 3.58-3.66, 2 Dy 3.65
Th: 0.1161 0.8839 0.2500  4 Dy 3.52-3.69, 2 Th 3.56, 6 Nd 3.57-3.66
Th: 0.8839 0.1161 0.7500  4 Dy 3.52-3.69, 2 Th 3.56, 6 Nd 3.57-3.66

## four
Nd2DyTh: relaxed, PBE.

## Properties
**Space group**: R-3m (166)
**D(E_F)**: 6.7 states/eV/f.u.
**M_tot**: 0.00 μB/f.u.

a = 12.0127 Å, b = 12.0127 Å, c = 12.0127 Å
α = 17.34°, β = 17.34°, γ = 17.34°
With the nearest neighbours (Å) after each atom.
Element x y z (fractional)
Nd: 0.2489 0.2489 0.2489  3 Th 3.59, 6 Nd 3.62, 3 Dy 3.65
Nd: 0.7511 0.7511 0.7511  3 Th 3.59, 6 Nd 3.62, 3 Dy 3.65
Dy: 0.0000 0.0000 0.0000  6 Dy 3.62, 6 Nd 3.65
Th: 0.5000 0.5000 0.5000  6 Nd 3.59, 6 Th 3.62

Relative to the most stable structure, the computed energies are one 178; two 0; three 19; four 12, all in meV/atom.